Entry from Alexandria via LeMat-Bulk: crystalline Pr2ZnSi4Ir3 at its relaxed geometry (PBE).

Cell: 4.2198 4.2198 10.0352 Å, 90.00 90.00 90.00°
With the nearest neighbours (Å) after each atom.
Fractional coordinates of all 10 atoms:
Pr  0.5000  0.0000  0.2433  8 Si 3.21-3.23, 6 Ir 3.22-3.33, 2 Zn 3.33
Zn  0.5000  0.5000  0.5000  4 Si 2.52
Si  0.5000  0.5000  0.0000  4 Ir 2.44
Ir  0.0000  0.0000  0.5000  4 Si 2.52
Si  0.5000  0.0000  0.6380  3 Ir 2.41-2.52, 2 Zn 2.52
Pr  0.0000  0.5000  0.7567  8 Si 3.21-3.23, 6 Ir 3.22-3.33, 2 Zn 3.33
Ir  0.0000  0.5000  0.1216  5 Si 2.41-2.44
Si  0.0000  0.5000  0.3620  3 Ir 2.41-2.52, 2 Zn 2.52
Si  0.0000  0.0000  0.0000  4 Ir 2.44
Ir  0.5000  0.0000  0.8784  5 Si 2.41-2.44

**Size of the total moment**: 0.0 Bohr magnetons per cell
**Space-group type**: P-4m2, No. 115
**Uncorrected formation energy**: -0.85 eV/atom
**Fermi-level density of states**: 0.61 states/eV per atom
**DFT total energy**: -67.6 eV/cell